1.
An optimized crystal structure of Rb2CaSe2. Source: the Alexandria database, functional PBE.

extended XYZ file:
```
10
Lattice="-2.171 7.547 4.300 -0.591 -4.550 7.688 3.995 0.729 0.738" Properties=species:S:1:pos:R:3 pbc="T T T"
Rb -1.416 4.132 3.585
Rb -0.485 -0.827 3.438
Rb -2.277 3.823 8.549
Rb -1.346 -1.136 8.402
Se 0.028 1.834 9.578
Se 1.205 1.892 3.148
Se 0.044 5.080 6.287
Se 1.189 -1.354 6.439
Ca -1.381 1.498 5.994
Ca 0.000 0.000 0.000
```

## Properties
- energy above the lowest structure with this stoichiometry (meV/atom) = 653
- SG = P4/mbm, No. 127
- crystal system = tetragonal
- formation energy (no corrections) (meV/atom) = -749

---

2.
An optimized crystal structure of Rb2CaSe2. Source: the Alexandria database, functional PBE.

extended XYZ file:
```
10
Lattice="-4.946 2.947 -4.490 5.132 -0.654 -6.082 -2.527 -7.344 3.900" Properties=species:S:1:pos:R:3 pbc="T T T"
Se 3.129 -1.753 -4.597
Se -1.483 -0.007 -4.307
Se -0.858 -5.045 -2.366
Se -5.470 -3.299 -2.076
Rb -0.018 -1.923 -1.242
Rb -3.895 -0.271 -1.824
Rb -2.323 -3.129 -5.431
Rb 1.554 -4.781 -4.849
Ca -1.144 1.883 -6.409
Ca 1.329 0.409 -4.164
```

## Properties
- energy above the lowest structure with this stoichiometry (meV/atom) = 0
- SG = Ibam, No. 72
- crystal system = orthorhombic
- formation energy (no corrections) (meV/atom) = -1402

---

3.
An optimized crystal structure of RbCaSe3. Source: the Alexandria database, functional PBE.

extended XYZ file:
```
5
Lattice="-1.811 -0.359 -5.364 -1.084 -5.519 0.735 -5.265 1.260 1.693" Properties=species:S:1:pos:R:3 pbc="T T T"
Se -0.542 -2.759 0.367
Se -0.905 -0.179 -2.682
Se -2.633 0.630 0.847
Ca -4.080 -2.309 -1.468
Rb 0.000 0.000 0.000
```

## Properties
- energy above the lowest structure with this stoichiometry (meV/atom) = 873
- SG = Pm-3m, No. 221
- crystal system = cubic
- formation energy (no corrections) (meV/atom) = 208

---

4.
An optimized crystal structure of Rb2CaSiSe4. Source: the Alexandria database, functional PBE.

extended XYZ file:
```
16
Lattice="-3.787 4.478 5.767 -7.173 -2.861 -2.831 3.285 -6.534 4.284" Properties=species:S:1:pos:R:3 pbc="T T T"
Se -5.956 -1.472 3.849
Se -4.525 2.265 4.960
Se -8.737 0.854 2.959
Se -3.326 -1.965 5.974
Se -1.719 -3.446 3.371
Se 1.063 -5.771 4.261
Se -3.149 -7.182 2.260
Se -4.348 -2.952 1.246
Rb 1.642 -3.267 2.142
Rb -0.251 -1.028 5.025
Rb -5.480 0.808 1.468
Rb -1.893 2.239 2.883
Ca -5.730 -0.220 6.493
Ca -3.586 -1.431 -1.415
Si -0.502 -2.056 10.051
Si -3.837 -2.459 3.610
```

## Properties
- SG = C2/c, No. 15
- crystal system = monoclinic
- formation energy (no corrections) (meV/atom) = -876

---

5.
An optimized crystal structure of RbCaTa2Se. Source: the Alexandria database, functional PBE.

extended XYZ file:
```
5
Lattice="5.481 0.000 0.000 0.000 5.560 0.000 0.000 0.000 5.481" Properties=species:S:1:pos:R:3 pbc="T T T"
Ta 0.000 0.000 2.741
Ta 2.741 0.000 0.000
Ca 0.000 0.000 0.000
Rb 2.741 2.780 2.741
Se 0.000 2.780 0.000
```

## Properties
- SG = P4/mmm, No. 123
- crystal system = tetragonal
- formation energy (no corrections) (meV/atom) = 1889

---

6.
An optimized crystal structure of Rb2Ca2TaSe6. Source: the Alexandria database, functional PBE.

extended XYZ file:
```
11
Lattice="-1.405 1.605 6.731 0.994 -6.764 -1.766 8.130 2.601 -0.267" Properties=species:S:1:pos:R:3 pbc="T T T"
Se 5.162 1.915 2.156
Se 2.435 -0.374 1.056
Se 2.557 -4.473 2.541
Se 5.874 -0.570 -0.367
Se 1.844 -1.988 5.064
Se 5.283 -2.183 3.641
Ca 4.257 -2.666 0.940
Ca 3.462 0.109 3.757
Ta 4.065 1.300 -0.134
Rb 0.573 -5.298 -0.278
Rb -0.985 0.139 5.242
```

## Properties
- SG = C2/m, No. 12
- crystal system = monoclinic
- formation energy (no corrections) (meV/atom) = -1233